1.
{
  "formula": "LaTl3Sn",
  "functional": "GGA-PBE",
  "state": "optimized geometry",
  "formation_enthalpy_0k_ev_per_atom": 0.289,
  "m_tot_mub_per_fu": 0.000,
  "lattice": [[5.6218, 0.0000, 0.0000], [0.0000, 5.6218, 0.0000], [0.0000, 0.0000, 5.6218]],
  "species": ["Tl", "Tl", "Tl", "Sn", "La"],
  "fractional_positions": [[0.0000, 0.5000, 0.0000], [0.0000, 0.0000, 0.5000], [0.5000, 0.0000, 0.0000], [0.0000, 0.0000, 0.0000], [0.5000, 0.5000, 0.5000]]
}

2.
{
  "formula": "La4TlSn",
  "functional": "GGA-PBE",
  "state": "optimized geometry",
  "formation_enthalpy_0k_ev_per_atom": -0.423,
  "m_tot_mub_per_fu": 0.000,
  "lattice": [[4.2516, -0.5398, 0.0102], [0.5402, 4.2515, 0.0102], [-0.0273, -0.0213, 10.2791]],
  "species": ["La", "La", "La", "La", "Tl", "Sn"],
  "fractional_positions": [[0.5001, 0.5001, 0.1607], [0.4999, 0.4999, 0.8393], [0.0000, 0.9999, 0.6529], [0.0000, 0.0001, 0.3471], [0.0000, 0.0000, 0.0000], [0.5000, 0.5000, 0.5000]]
}

3.
{
  "formula": "La6TlSn2",
  "functional": "GGA-PBE",
  "state": "optimized geometry",
  "formation_enthalpy_0k_ev_per_atom": -0.506,
  "m_tot_mub_per_fu": 0.128,
  "lattice": [[-4.2616, 1.3368, -0.5621], [-1.7150, -7.3678, -4.5199], [-1.1016, 0.1637, 8.7415]],
  "species": ["La", "La", "La", "La", "La", "La", "Tl", "Sn", "Sn"],
  "fractional_positions": [[0.5000, 0.5873, 0.0000], [0.5000, 0.4127, 0.4127], [0.5000, 0.0000, 0.5873], [0.0000, 0.2724, 0.0000], [0.0000, 0.7279, 0.7282], [0.0000, 0.9997, 0.2718], [0.5000, 0.0002, 0.0000], [0.0000, 0.3332, 0.6665], [0.0000, 0.6667, 0.3335]]
}

4.
{
  "formula": "La10Tl3Sn3",
  "functional": "GGA-PBE",
  "state": "optimized geometry",
  "formation_enthalpy_0k_ev_per_atom": -0.503,
  "m_tot_mub_per_fu": 0.003,
  "lattice": [[-1.5205, -4.3782, 4.9738], [-6.4129, -4.2796, -5.7275], [9.1123, -3.0327, 0.1161]],
  "species": ["La", "La", "La", "La", "La", "La", "La", "La", "La", "La", "Tl", "Tl", "Tl", "Sn", "Sn", "Sn"],
  "fractional_positions": [[0.2708, 0.6667, 0.3333], [0.2708, 0.3333, 0.6667], [0.7292, 0.3333, 0.6667], [0.7292, 0.6667, 0.3333], [0.5000, 0.0000, 0.7588], [0.5000, 0.7588, 0.0000], [0.5000, 0.2412, 0.2412], [0.0000, 0.0000, 0.2484], [0.0000, 0.2484, 0.0000], [0.0000, 0.7516, 0.7516], [0.0000, 0.0000, 0.6052], [0.0000, 0.6052, 0.0000], [0.0000, 0.3948, 0.3948], [0.5000, 0.0000, 0.3886], [0.5000, 0.3886, 0.0000], [0.5000, 0.6114, 0.6114]]
}

5.
{
  "formula": "La2Tl3Sn3",
  "functional": "GGA-PBE",
  "state": "optimized geometry",
  "formation_enthalpy_0k_ev_per_atom": -0.482,
  "m_tot_mub_per_fu": 0.000,
  "lattice": [[4.7997, 0.0000, 0.0000], [0.0000, 4.8236, 0.0000], [0.0000, 0.0000, 9.8614]],
  "species": ["La", "La", "Tl", "Tl", "Tl", "Sn", "Sn", "Sn"],
  "fractional_positions": [[0.0000, 0.0000, 0.2591], [0.0000, 0.0000, 0.7409], [0.0000, 0.5000, 0.0000], [0.5000, 0.0000, 0.5000], [0.5000, 0.0000, 0.0000], [0.5000, 0.5000, 0.2554], [0.5000, 0.5000, 0.7446], [0.0000, 0.5000, 0.5000]]
}

6.
{
  "formula": "La5TlSn3",
  "functional": "GGA-PBE",
  "state": "optimized geometry",
  "formation_enthalpy_0k_ev_per_atom": -0.667,
  "m_tot_mub_per_fu": 1.764,
  "lattice": [[-1.2994, -6.5465, -1.6275], [4.6716, 1.2055, -8.5791], [4.9909, -2.9663, 7.9471]],
  "species": ["La", "La", "La", "La", "La", "La", "La", "La", "La", "La", "Tl", "Tl", "Sn", "Sn", "Sn", "Sn", "Sn", "Sn"],
  "fractional_positions": [[0.0000, 0.6667, 0.3333], [0.5000, 0.3333, 0.6667], [0.0000, 0.3333, 0.6667], [0.5000, 0.6667, 0.3333], [0.7500, 0.7130, 0.7131], [0.7500, 0.0000, 0.2869], [0.7500, 0.2869, 0.0000], [0.2500, 0.2870, 0.2869], [0.2500, 0.0000, 0.7131], [0.2500, 0.7131, 0.0000], [0.0000, 0.0000, 0.0000], [0.5000, 0.0000, 0.0000], [0.7500, 0.3711, 0.3712], [0.7500, 0.0000, 0.6288], [0.7500, 0.6288, 0.0000], [0.2500, 0.6289, 0.6288], [0.2500, 0.0000, 0.3712], [0.2500, 0.3712, 0.0000]]
}